A plane-wave DFT calculation with GGA+U was carried out for a geometry-optimized Li3V2FeO6 structure. Values from VASP.

## Properties
The calculation puts the total magnetization at 9.0 μB per formula unit. The energy is -79.70 eV per formula unit.

```
&SYSTEM
  ibrav = 0, nat = 12, ntyp = 4
/
ATOMIC_SPECIES
Li 6.94 Li.upf
V 50.94 V.upf
Fe 55.84 Fe.upf
O 16.00 O.upf
ATOMIC_POSITIONS crystal
Li 0.000 0.000 0.000
Li 0.334 0.334 0.667
Li 0.666 0.666 0.333
V 0.334 0.334 0.167
V 0.666 0.666 0.833
Fe 0.000 0.000 0.500
O 0.161 0.161 0.593
O 0.172 0.172 0.072
O 0.495 0.495 0.262
O 0.505 0.505 0.738
O 0.828 0.828 0.928
O 0.839 0.839 0.407
CELL_PARAMETERS angstrom
6.567 -1.491 0.000
6.567 1.491 0.000
-1.347 0.000 5.839
```